[1]
DFT (PBE) results for an optimized crystal structure of BeZn2Ir.

```
BeZn2Ir
1.0
-3.811 -0.835 -2.027
0.754 -2.994 3.130
-1.392 1.668 1.931
Ir Zn Be
1 2 1
Cartesian
-0.319 -0.663 2.530
0.000 0.000 0.000
-1.529 -1.915 0.552
-2.602 0.416 -0.048
```

## Properties
Symmetry: Cmmm, No. 65
Energy relative to the elements, eV/atom: -0.051

[2]
DFT (PBE) results for an optimized crystal structure of Ho2Mg3Ge4.

```
Ho2Mg3Ge4
1.0
6.977 0.000 0.000
0.000 7.570 0.000
0.000 0.000 14.229
Ho Mg Ge
8 12 16
Cartesian
6.958 6.180 8.480
3.507 2.395 1.365
3.470 5.175 12.864
3.470 5.175 8.480
6.958 6.180 12.864
3.507 2.395 5.749
0.018 1.390 1.365
0.018 1.390 5.749
5.777 2.495 8.836
2.289 1.290 12.508
4.688 6.279 1.721
4.688 6.279 5.394
1.200 5.075 5.394
1.200 5.075 1.721
5.777 2.495 12.508
1.117 3.775 10.672
5.860 3.795 3.557
2.289 1.290 8.836
2.371 7.559 3.557
4.605 0.010 10.672
2.011 6.539 10.672
2.292 7.299 0.532
1.196 3.514 7.647
3.713 2.922 10.672
4.966 1.031 3.557
1.196 3.514 13.697
4.685 0.271 13.697
1.477 2.754 3.557
3.264 4.648 3.557
5.780 4.056 0.532
6.752 6.707 3.557
0.225 0.863 10.672
5.499 4.815 10.672
5.780 4.056 6.583
2.292 7.299 6.583
4.685 0.271 7.647
```

## Properties
Symmetry: Pnma, No. 62
Energy relative to the elements, eV/atom: -0.526

[3]
DFT (PBE) results for an optimized crystal structure of Ba2CdCu.

```
Ba2CdCu
1.0
-3.192 1.554 4.675
3.758 -2.841 3.502
2.229 3.424 0.378
Cd Ba Cu
1 2 1
Cartesian
-0.482 2.489 2.526
0.283 -0.644 4.088
0.000 0.000 0.000
2.994 0.291 1.940
```

## Properties
Symmetry: C2/m, No. 12
Energy relative to the elements, eV/atom: -0.090

[4]
DFT (PBE) results for an optimized crystal structure of Li6CuB4O10.

```
Li6CuB4O10
1.0
-4.054 1.755 -2.124
-5.237 -2.559 3.166
-2.145 5.817 3.725
Li O B Cu
6 10 4 1
Cartesian
-9.040 1.296 1.860
-9.552 4.944 4.785
-3.251 1.796 0.215
-7.393 3.201 1.300
-10.049 2.608 3.471
-5.887 0.883 2.037
-5.342 1.577 3.847
-3.609 5.385 2.168
-6.273 3.510 2.786
-4.105 1.495 -1.670
-2.682 3.202 2.736
-3.716 3.610 0.601
-4.057 0.093 0.730
-5.402 3.651 5.030
-6.506 -0.942 2.770
-7.363 1.267 0.816
-3.067 6.117 3.268
-5.683 2.903 3.843
-3.540 -0.801 1.629
-3.328 4.011 1.826
-6.432 5.412 2.549
```

## Properties
Formation energy without anion corrections, meV per atom: -2142
E above lowest polymorph, meV per atom: 22.5
Symmetry: P1, No. 1

[5]
DFT (PBE) results for an optimized crystal structure of SrSc2Mn2.

```
SrSc2Mn2
1.0
8.242 0.000 0.000
0.000 8.242 0.000
0.000 0.000 3.380
Mn Sc Sr
4 4 2
Cartesian
0.992 3.129 0.000
5.114 0.992 0.000
3.129 7.250 0.000
7.250 5.114 0.000
1.285 5.406 1.690
5.406 6.957 1.690
2.836 1.285 1.690
6.957 2.836 1.690
4.121 4.121 0.000
0.000 0.000 0.000
```

## Properties
Symmetry: P4/mbm, No. 127
Energy relative to the elements, eV/atom: 0.279

[6]
DFT (PBE) results for an optimized crystal structure of Sr3Sb4Au4.

```
Sr3Sb4Au4
1.0
4.517 -0.001 0.007
0.000 4.733 0.003
2.256 2.353 14.471
Au Sb Sr
4 4 3
Cartesian
4.512 4.721 13.114
4.520 2.359 9.029
2.252 4.727 5.451
2.261 2.364 1.366
2.258 2.360 7.183
2.266 4.730 2.767
4.507 2.355 11.714
4.514 4.725 7.297
2.256 4.724 10.343
4.517 2.361 4.137
2.256 2.353 14.471
```

## Properties
Formation energy without anion corrections, meV per atom: -673
Symmetry: P-1, No. 2